{"formula": "Pu8Ir2Pt", "functional": "GGA-PBE", "state": "optimized geometry", "formation_energy_ev_per_atom": -0.23, "total_energy_ev_per_atom": -12.809, "cell": [[8.578, -2.485, 0.000], [8.578, 2.485, 0.000], [-2.094, 0.000, 5.923]], "species": ["Pu", "Pu", "Pu", "Pu", "Pu", "Pu", "Pu", "Pu", "Ir", "Ir", "Pt"], "frac_coords": [[0.005, 0.005, 0.258], [0.205, 0.205, 0.824], [0.329, 0.329, 0.490], [0.403, 0.403, 0.011], [0.597, 0.597, 0.989], [0.671, 0.671, 0.510], [0.795, 0.795, 0.176], [0.995, 0.995, 0.742], [0.162, 0.162, 0.239], [0.838, 0.838, 0.761], [0.500, 0.500, 0.500]]}

{"formula": "Pm3Dy4Sc2", "functional": "GGA-PBE", "state": "optimized geometry", "formation_energy_ev_per_atom": 0.04, "total_energy_ev_per_atom": -4.995, "relative_energy_ev_per_atom": 0.000, "cell": [[5.549, -2.497, 0.000], [5.549, 2.497, 0.000], [-3.262, 0.000, 9.984]], "species": ["Pm", "Pm", "Pm", "Dy", "Dy", "Dy", "Dy", "Sc", "Sc"], "frac_coords": [[0.000, 0.000, 0.000], [0.331, 0.331, 0.445], [0.669, 0.669, 0.555], [0.002, 0.002, 0.671], [0.332, 0.332, 0.109], [0.668, 0.668, 0.891], [0.998, 0.998, 0.329], [0.334, 0.334, 0.779], [0.666, 0.666, 0.221]]}

{"formula": "MgTi2Bi", "functional": "GGA-PBE", "state": "optimized geometry", "formation_energy_ev_per_atom": 0.02, "total_energy_ev_per_atom": -5.298, "relative_energy_ev_per_atom": 0.000, "cell": [[4.194, 0.000, 0.000], [0.000, 4.194, 0.000], [0.000, 0.000, 4.510]], "species": ["Mg", "Ti", "Ti", "Bi"], "frac_coords": [[0.000, 0.000, 0.000], [0.000, 0.500, 0.500], [0.500, 0.000, 0.500], [0.500, 0.500, 0.000]]}

{"formula": "RePt5", "functional": "GGA-PBE", "state": "optimized geometry", "formation_energy_ev_per_atom": 0.47, "total_energy_ev_per_atom": -6.635, "relative_energy_ev_per_atom": 0.570, "cell": [[0.000, 3.670, 3.670], [3.670, 0.000, 3.670], [3.670, 3.670, 0.000]], "species": ["Re", "Pt", "Pt", "Pt", "Pt", "Pt"], "frac_coords": [[0.000, 0.000, 0.000], [0.375, 0.375, 0.375], [0.375, 0.375, 0.875], [0.375, 0.875, 0.375], [0.750, 0.750, 0.750], [0.875, 0.375, 0.375]]}

{"formula": "Ca3Cd2Ag7", "functional": "GGA-PBE", "state": "optimized geometry", "formation_energy_ev_per_atom": -0.24, "total_energy_ev_per_atom": -2.560, "cell": [[2.888, 1.667, 9.362], [-2.888, 1.667, 9.362], [0.000, -3.335, 9.362]], "species": ["Ca", "Ca", "Ca", "Cd", "Cd", "Ag", "Ag", "Ag", "Ag", "Ag", "Ag", "Ag"], "frac_coords": [[0.000, 0.000, 0.000], [0.141, 0.141, 0.141], [0.859, 0.859, 0.859], [0.333, 0.333, 0.333], [0.667, 0.667, 0.667], [0.082, 0.587, 0.587], [0.413, 0.413, 0.918], [0.413, 0.918, 0.413], [0.500, 0.500, 0.500], [0.587, 0.082, 0.587], [0.587, 0.587, 0.082], [0.918, 0.413, 0.413]]}

{"formula": "PmPr5Sn5", "functional": "GGA-PBE", "state": "optimized geometry", "formation_energy_ev_per_atom": -0.49, "total_energy_ev_per_atom": -4.918, "cell": [[7.294, -3.199, 0.000], [7.294, 3.199, 0.000], [-2.658, 0.000, 8.390]], "species": ["Pm", "Pr", "Pr", "Pr", "Pr", "Pr", "Sn", "Sn", "Sn", "Sn", "Sn"], "frac_coords": [[0.000, 0.000, 0.000], [0.000, 0.000, 0.500], [0.331, 0.331, 0.667], [0.332, 0.332, 0.165], [0.668, 0.668, 0.835], [0.669, 0.669, 0.333], [0.163, 0.163, 0.830], [0.164, 0.164, 0.333], [0.500, 0.500, 0.000], [0.836, 0.836, 0.667], [0.837, 0.837, 0.170]]}

{"formula": "TbPmNd4Se8", "functional": "GGA-PBE", "state": "optimized geometry", "raw_formation_energy_ev_per_atom": -1.73, "total_energy_ev_per_atom": -5.751, "cell": [[4.330, 2.500, 7.063], [-4.330, 2.500, 7.063], [0.000, -5.000, 7.063]], "species": ["Tb", "Pm", "Nd", "Nd", "Nd", "Nd", "Se", "Se", "Se", "Se", "Se", "Se", "Se", "Se"], "frac_coords": [[0.000, 0.000, 0.000], [0.626, 0.626, 0.626], [0.121, 0.626, 0.626], [0.250, 0.250, 0.250], [0.626, 0.121, 0.626], [0.626, 0.626, 0.121], [0.383, 0.383, 0.383], [0.384, 0.384, 0.850], [0.384, 0.850, 0.384], [0.389, 0.869, 0.869], [0.850, 0.384, 0.384], [0.869, 0.389, 0.869], [0.869, 0.869, 0.389], [0.871, 0.871, 0.871]]}

{"formula": "InBr2O", "functional": "GGA-PBE", "state": "optimized geometry", "raw_formation_energy_ev_per_atom": -0.62, "total_energy_ev_per_atom": -3.384, "relative_energy_ev_per_atom": 0.207, "cell": [[9.367, -1.596, 0.000], [9.367, 1.596, 0.000], [-0.534, 0.000, 3.149]], "species": ["In", "Br", "Br", "O"], "frac_coords": [[0.000, 0.000, 0.000], [0.146, 0.146, 0.145], [0.854, 0.854, 0.855], [0.500, 0.500, 0.500]]}

{"formula": "Cu2NiOs", "functional": "GGA-PBE", "state": "optimized geometry", "formation_energy_ev_per_atom": 0.19, "total_energy_ev_per_atom": -6.112, "relative_energy_ev_per_atom": 0.046, "cell": [[1.311, 0.757, 8.421], [-1.311, 0.757, 8.421], [0.000, -1.514, 8.421]], "species": ["Cu", "Cu", "Ni", "Os"], "frac_coords": [[0.246, 0.246, 0.246], [0.754, 0.754, 0.754], [0.500, 0.500, 0.500], [0.000, 0.000, 0.000]]}

{"formula": "Pm13Sm3", "functional": "GGA-PBE", "state": "optimized geometry", "formation_energy_ev_per_atom": 0.01, "total_energy_ev_per_atom": -4.731, "relative_energy_ev_per_atom": 0.000, "cell": [[10.293, 0.000, 0.000], [0.000, 5.161, 5.161], [0.000, -5.161, 5.161]], "species": ["Pm", "Pm", "Pm", "Pm", "Pm", "Pm", "Pm", "Pm", "Pm", "Pm", "Pm", "Pm", "Pm", "Sm", "Sm", "Sm"], "frac_coords": [[0.000, 0.000, 0.000], [0.000, 0.000, 0.500], [0.000, 0.500, 0.000], [0.000, 0.500, 0.500], [0.250, 0.250, 0.250], [0.250, 0.250, 0.750], [0.250, 0.750, 0.250], [0.500, 0.000, 0.000], [0.500, 0.000, 0.500], [0.500, 0.500, 0.000], [0.750, 0.250, 0.250], [0.750, 0.250, 0.750], [0.750, 0.750, 0.250], [0.250, 0.750, 0.750], [0.500, 0.500, 0.500], [0.750, 0.750, 0.750]]}

{"formula": "DyPu4Se5", "functional": "GGA-PBE", "state": "optimized geometry", "raw_formation_energy_ev_per_atom": -1.57, "total_energy_ev_per_atom": -9.503, "cell": [[-2.060, 2.918, 10.327], [2.060, -2.918, 10.327], [2.060, 2.918, -10.327]], "species": ["Dy", "Pu", "Pu", "Pu", "Pu", "Se", "Se", "Se", "Se", "Se"], "frac_coords": [[0.000, 0.000, 0.000], [0.200, 0.200, 0.000], [0.401, 0.401, 0.000], [0.599, 0.599, 0.000], [0.800, 0.800, 0.000], [0.098, 0.598, 0.500], [0.300, 0.800, 0.500], [0.500, 0.000, 0.500], [0.700, 0.200, 0.500], [0.902, 0.402, 0.500]]}

{"formula": "Sr2LaP", "functional": "GGA-PBE", "state": "optimized geometry", "formation_energy_ev_per_atom": -0.39, "total_energy_ev_per_atom": -3.811, "relative_energy_ev_per_atom": 0.179, "cell": [[3.792, 0.000, 0.000], [0.000, 3.792, 0.000], [0.000, 0.000, 9.967]], "species": ["Sr", "Sr", "La", "P"], "frac_coords": [[0.000, 0.000, 0.162], [0.000, 0.000, 0.838], [0.500, 0.500, 0.500], [0.500, 0.500, 0.000]]}

| no. | total magnetic moment (μB per formula unit) |
| --- | --- |
| 1 | 1.16 |
| 2 | 0.00 |
| 3 | 0.00 |
| 4 | 1.92 |
| 5 | 0.00 |
| 6 | 0.43 |
| 7 | 0.00 |
| 8 | 0.00 |
| 9 | 0.00 |
| 10 | 0.00 |
| 11 | 0.13 |
| 12 | 0.00 |